A plane-wave DFT calculation with GGA-PBE was carried out for a relaxed structure of Na3Th4Te8.

Properties
- space group = C2/m (12)
- M_tot (μB per cell) = 0.000
- uncorrected energy (eV per cell) = -75.382
- calculated density (g/cm³) = 6.59

Cell and atoms, written as POSCAR:
```
Na3Th4Te8
1.0
8.9296 -0.0902 -0.1295
-4.3250 7.8084 0.1321
-4.3250 -2.5868 7.3686
Te Na Th
8 3 4
Cartesian
-2.2260 1.3521 1.9423
2.5055 3.7793 5.4290
-4.3250 0.0515 5.5320
2.2896 1.2097 1.7378
0.1397 5.1489 1.8873
0.1397 -0.0175 5.4839
-2.0101 3.9217 5.6334
-4.3250 5.1701 1.9687
0.1397 2.5657 3.6856
2.3023 -1.3385 3.6196
2.3023 3.8591 0.0013
4.4648 -0.0451 -0.0648
0.0000 0.0000 0.0000
-2.1625 -1.2934 3.6843
-2.1625 3.9042 0.0660
```